DFT (PBE) results for a geometry-optimized NbCoTc2 structure.

a b c (Å): 3.816 3.816 3.962
angles (deg): 90.00 90.00 90.00
Space group P4/mmm (No. 123)
Unique sites:
1 Nb 0.000 0.000 0.000 [1 per cell]
2 Co 0.500 0.500 0.000 [1 per cell]
3 Tc 0.000 0.500 0.500 [2 per cell]

Polymorph energy (0 for the lowest one), meV/atom: 0
Theoretical density, g cm⁻³: 10.0
Energy of formation, meV per atom: -13
D(E_F), states/eV/cell: 4.4


DFT (PBE) results for a geometry-optimized La2Al4SiPt3 structure.

a b c (Å): 4.356 4.356 10.364
angles (deg): 90.00 90.00 90.00
Space group P-4m2 (No. 115)
Unique sites:
1 La 0.000 0.500 0.247 [2 per cell]
2 Al 0.000 0.000 0.500 [1 per cell]
3 Al 0.000 0.500 0.868 [2 per cell]
4 Al 0.500 0.500 0.500 [1 per cell]
5 Si 0.500 0.500 0.000 [1 per cell]
6 Pt 0.000 0.000 0.000 [1 per cell]
7 Pt 0.000 0.500 0.629 [2 per cell]

Theoretical density, g cm⁻³: 8.4
Formation energy without anion corrections, eV per atom: -0.99
D(E_F), states/eV/cell: 8.5


DFT (PBE) results for a geometry-optimized Mg2ZnNi structure.

a b c (Å): 2.991 4.253 5.354
angles (deg): 90.00 106.08 90.00
Space group Pm (No. 6)
Unique sites:
1 Mg 0.000 0.000 0.000 [1 per cell]
2 Mg 0.322 0.500 0.650 [1 per cell]
3 Zn 0.719 0.000 0.444 [1 per cell]
4 Ni 0.598 0.500 0.192 [1 per cell]

Theoretical density, g cm⁻³: 4.4
Energy of formation, meV per atom: -124
D(E_F), states/eV/cell: 1.7


DFT (PBE) results for a geometry-optimized AcGe4Pd4 structure.

a b c (Å): 6.289 6.289 8.633
angles (deg): 90.00 90.00 90.00
Space group P4_2/nmc (No. 137, origin choice 2)
Unique sites:
1 Ac 0.250 0.750 0.250 [2 per cell]
2 Ge 0.041 0.250 0.074 [8 per cell]
3 Pd 0.025 0.250 0.365 [8 per cell]

Theoretical density, g cm⁻³: 9.2
Energy of formation, meV per atom: -580
D(E_F), states/eV/cell: 10.7